No. 1
Crystalline PmErGe2Pt5 at its relaxed geometry, computed with PBE-GGA.

Cell and atoms, written as extended XYZ:
```
9
Lattice="-0.197 -1.999 3.800 4.203 0.689 0.580 -1.846 7.855 4.036" Properties=species:S:1:pos:R:3 pbc="T T T"
Pm -0.923 3.928 2.018
Er 0.000 0.000 0.000
Ge 1.756 0.396 2.730
Ge 0.404 6.150 5.686
Pt 1.607 2.450 1.372
Pt -0.593 1.106 2.982
Pt 0.750 6.094 3.244
Pt -1.450 4.750 4.854
Pt 1.080 3.273 4.208
```

- Crystal system: tetragonal
- Energy of formation: -0.887 eV per atom



No. 2
Crystalline PmErGe2Pt2 at its relaxed geometry, computed with PBE-GGA.

Cell and atoms, written as extended XYZ:
```
6
Lattice="4.431 0.000 0.000 -2.215 3.837 0.000 0.000 0.000 7.196" Properties=species:S:1:pos:R:3 pbc="T T T"
Pm 0.000 0.000 0.000
Er 0.000 0.000 3.598
Ge 0.000 2.558 1.939
Ge 2.215 1.279 5.257
Pt 0.000 2.558 5.171
Pt 2.215 1.279 2.025
```

- Crystal system: trigonal
- Energy of formation: -1.079 eV per atom



No. 3
Crystalline PmErGe2Rh2 at its relaxed geometry, computed with PBE-GGA.

Cell and atoms, written as extended XYZ:
```
6
Lattice="4.397 0.000 0.000 -2.198 3.808 0.000 0.000 0.000 7.103" Properties=species:S:1:pos:R:3 pbc="T T T"
Pm 0.000 0.000 0.000
Er 0.000 0.000 3.552
Ge 0.000 2.538 1.921
Ge 2.198 1.269 5.183
Rh 0.000 2.538 5.087
Rh 2.198 1.269 2.017
```

- Crystal system: trigonal
- Energy of formation: -0.903 eV per atom



No. 4
Crystalline PmErGeRh at its relaxed geometry, computed with PBE-GGA.

Cell and atoms, written as extended XYZ:
```
4
Lattice="-0.643 0.790 -4.894 -1.733 -3.670 -2.917 -4.614 0.286 -1.900" Properties=species:S:1:pos:R:3 pbc="T T T"
Ge 0.000 0.000 0.000
Pm -5.242 -1.946 -7.284
Rh -3.495 -1.297 -4.856
Er -1.747 -0.649 -2.428
```

- Crystal system: cubic
- Energy above the most stable polymorph in this dataset: 149 meV per atom
- Energy of formation: -0.686 eV per atom



No. 5
Crystalline PmErGeRh at its relaxed geometry, computed with PBE-GGA.

Cell and atoms, written as extended XYZ:
```
4
Lattice="4.132 0.000 0.000 0.000 4.169 0.000 -2.066 0.000 5.304" Properties=species:S:1:pos:R:3 pbc="T T T"
Pm 0.000 0.000 1.538
Er 2.066 2.085 3.863
Ge 2.066 2.085 0.762
Rh 0.000 0.000 4.444
```

- Crystal system: orthorhombic
- Energy above the most stable polymorph in this dataset: 0 meV per atom
- Energy of formation: -0.836 eV per atom



No. 6
Crystalline PmErGe2Rh5 at its relaxed geometry, computed with PBE-GGA.

Cell and atoms, written as extended XYZ:
```
9
Lattice="4.203 0.000 0.000 0.000 4.203 0.000 0.000 0.000 8.964" Properties=species:S:1:pos:R:3 pbc="T T T"
Pm 0.000 0.000 4.482
Er 0.000 0.000 0.000
Ge 2.102 2.102 1.246
Ge 2.102 2.102 7.718
Rh 0.000 2.102 2.393
Rh 2.102 0.000 2.393
Rh 0.000 2.102 6.571
Rh 2.102 0.000 6.571
Rh 2.102 2.102 4.482
```

- Crystal system: tetragonal
- Energy of formation: -0.694 eV per atom



No. 7
Crystalline Pm2ErGe4Rh3 at its relaxed geometry, computed with PBE-GGA.

Cell and atoms, written as extended XYZ:
```
10
Lattice="4.255 0.000 0.000 0.000 4.255 0.000 0.000 0.000 11.077" Properties=species:S:1:pos:R:3 pbc="T T T"
Pm 2.128 0.000 2.535
Pm 0.000 2.128 8.541
Er 2.128 2.128 5.538
Ge 2.128 2.128 0.000
Ge 0.000 0.000 0.000
Ge 2.128 0.000 7.377
Ge 0.000 2.128 3.699
Rh 0.000 0.000 5.538
Rh 2.128 0.000 9.809
Rh 0.000 2.128 1.267
```

- Crystal system: tetragonal
- Energy of formation: -0.811 eV per atom



No. 8
Crystalline PmErGeS at its relaxed geometry, computed with PBE-GGA.

Cell and atoms, written as extended XYZ:
```
4
Lattice="-1.699 -2.674 -2.575 2.358 -2.557 -2.137 -0.184 -6.249 3.375" Properties=species:S:1:pos:R:3 pbc="T T T"
Pm 0.288 -9.368 -0.171
Er 0.051 -3.630 0.500
Ge 0.588 -6.029 -3.836
S 0.174 -6.447 0.107
```

- Crystal system: trigonal
- E_tot: -5.952 eV/atom



N(E_F): 3.20, 3.73, 3.78, 2.33, 3.38, 6.19, 5.66, 1.47 (states/eV per cell)
Total magnetization: 0.0, 0.0, 0.0, 0.0, 0.0, 0.0, 0.0, 0.0 (μB per cell)